(1)
Ac3Zn2Pb3: optimized geometry, PBE.

Cell: 6.6784 6.6784 16.5835 Å, 90.00 90.00 137.85°
With the nearest neighbours (Å) after each atom.
Atoms (fractional coordinates):
Ac: 0.0700 0.9300 0.6099  7 Pb 3.43-3.84, 3 Zn 3.52-3.66
Ac: 0.0700 0.9300 0.8901  7 Pb 3.43-3.84, 3 Zn 3.52-3.66
Ac: 0.3501 0.6499 0.7500  4 Zn 3.48, 5 Pb 3.49-3.61
Ac: 0.6499 0.3501 0.2500  4 Zn 3.48, 5 Pb 3.49-3.61
Ac: 0.9300 0.0700 0.1099  7 Pb 3.43-3.84, 3 Zn 3.52-3.66
Ac: 0.9300 0.0700 0.3901  7 Pb 3.43-3.84, 3 Zn 3.52-3.66
Zn: 0.2238 0.7762 0.1085  4 Pb 2.87-3.02
Zn: 0.2238 0.7762 0.3915  4 Pb 2.87-3.02
Zn: 0.7762 0.2238 0.6085  4 Pb 2.87-3.02
Zn: 0.7762 0.2238 0.8915  4 Pb 2.87-3.02
Pb: 0.3638 0.6362 0.5401  3 Zn 2.87-3.02
Pb: 0.3638 0.6362 0.9599  3 Zn 2.87-3.02
Pb: 0.3661 0.6339 0.2500  2 Zn 2.94
Pb: 0.6339 0.3661 0.7500  2 Zn 2.94
Pb: 0.6362 0.3638 0.0401  3 Zn 2.87-3.02
Pb: 0.6362 0.3638 0.4599  3 Zn 2.87-3.02

Values from the calculation:
- M_tot: 0.297 μB per formula unit
- Total energy: -3.680 eV/atom
- Energy of formation from the pure elements: -0.431 eV/atom
- SG: Cmcm (63)

(2)
Ac2Zn2Pb: optimized geometry, PBE.

Cell: 7.8056 7.8056 4.1993 Å, 90.00 90.00 144.89°
With the nearest neighbours (Å) after each atom.
Atoms (fractional coordinates):
Ac: 0.1254 0.8746 0.0000  6 Zn 3.26-3.38
Ac: 0.8746 0.1254 0.0000  6 Zn 3.26-3.38
Zn: 0.2933 0.7067 0.5000  2 Zn 2.68
Zn: 0.7067 0.2933 0.5000  2 Zn 2.68
Pb: 0.5000 0.5000 0.5000  2 Zn 3.08

Values from the calculation:
- M_tot: 0.000 μB per formula unit
- Total energy: -3.267 eV/atom
- Energy of formation from the pure elements: -0.372 eV/atom
- SG: Cmmm (65)

(3)
Ac12ZnPb6: optimized geometry, PBE.

Cell: 9.5815 9.5815 9.5815 Å, 99.77 99.77 99.77°
With the nearest neighbours (Å) after each atom.
Atoms (fractional coordinates):
Ac: 0.0249 0.6780 0.9411  1 Zn 3.10, 2 Pb 3.39-3.46
Ac: 0.0589 0.9751 0.3220  1 Zn 3.10, 2 Pb 3.39-3.46
Ac: 0.1914 0.4200 0.5572  4 Pb 3.40-3.58
Ac: 0.3220 0.0589 0.9751  1 Zn 3.10, 2 Pb 3.39-3.46
Ac: 0.4200 0.5572 0.1914  4 Pb 3.40-3.58
Ac: 0.4428 0.8086 0.5800  4 Pb 3.40-3.58
Ac: 0.5572 0.1914 0.4200  4 Pb 3.40-3.58
Ac: 0.5800 0.4428 0.8086  4 Pb 3.40-3.58
Ac: 0.6780 0.9411 0.0249  1 Zn 3.10, 2 Pb 3.39-3.46
Ac: 0.8086 0.5800 0.4428  4 Pb 3.40-3.58
Ac: 0.9411 0.0249 0.6780  1 Zn 3.10, 2 Pb 3.39-3.46
Ac: 0.9751 0.3220 0.0589  1 Zn 3.10, 2 Pb 3.39-3.46
Zn: 0.0000 0.0000 0.0000  6 Ac 3.10
Pb: 0.1234 0.6367 0.3137  7 Ac 3.39-3.64
Pb: 0.3137 0.1234 0.6367  7 Ac 3.39-3.64
Pb: 0.3633 0.6863 0.8766  7 Ac 3.39-3.64
Pb: 0.6367 0.3137 0.1234  7 Ac 3.39-3.64
Pb: 0.6863 0.8766 0.3633  7 Ac 3.39-3.64
Pb: 0.8766 0.3633 0.6863  7 Ac 3.39-3.64

Values from the calculation:
- M_tot: 0.002 μB per formula unit
- Total energy: -4.063 eV/atom
- Energy of formation from the pure elements: -0.230 eV/atom
- SG: R-3 (148)